Entry 1:
Computed, not measured: crystalline Tl2In12Bi5 at its relaxed geometry at the PBE level of DFT.

Structure (POSCAR):
```
Tl2In12Bi5
1.0
-5.310 -3.436 2.229
-1.882 2.945 -10.030
4.976 -8.064 -0.580
Tl In Bi
2 12 5
Cartesian
-4.050 -2.621 1.700 Tl
-1.260 -0.815 0.529 Tl
0.510 -2.228 -2.219 In
3.210 -5.518 -6.410 In
0.288 -7.408 -5.183 In
0.115 -1.157 -6.937 In
-2.743 -3.006 -5.737 In
-1.132 -3.900 -8.707 In
-1.085 -4.656 0.326 In
-2.332 -7.399 -1.444 In
0.526 -5.549 -2.644 In
-5.426 -3.038 -1.971 In
-2.505 -1.148 -3.198 In
-2.727 -6.328 -6.162 In
0.257 -4.263 -5.959 Bi
-2.907 -0.098 -7.076 Bi
2.488 -4.032 -0.290 Bi
0.691 -8.457 -1.305 Bi
-2.474 -4.293 -2.422 Bi
```

E_form: 88 meV/atom

Entry 2:
Computed, not measured: crystalline ReSiW2 at its relaxed geometry at the PBE level of DFT.

Structure (POSCAR):
```
ReSiW2
1.0
-2.301 -1.578 -3.104
3.157 -1.220 -1.720
-0.257 -3.297 1.866
Re Si W
1 1 2
Cartesian
0.428 -1.399 -2.412 Re
-1.279 -2.437 -0.619 Si
0.000 0.000 0.000 W
1.450 -2.258 0.073 W
```

Formation energy (no corrections): 0.239 eV/atom

Entry 3:
Computed, not measured: crystalline Li3IrF6 at its relaxed geometry at the PBE level of DFT.

Structure (POSCAR):
```
Li3IrF6
1.0
5.547 0.000 0.000
0.000 6.687 0.032
0.000 -1.461 6.525
Li Ir F
6 2 12
Cartesian
1.916 4.580 3.760 Li
4.689 2.643 5.303 Li
1.902 1.945 3.811 Li
4.676 3.281 2.746 Li
4.689 0.646 2.798 Li
1.916 2.583 1.254 Li
0.455 -0.346 5.637 Ir
3.228 5.572 0.920 Ir
0.424 3.538 4.251 F
3.198 3.354 4.397 F
1.445 1.354 5.849 F
4.218 5.399 2.625 F
2.092 -1.287 6.387 F
4.542 0.724 4.785 F
1.768 4.503 1.773 F
4.865 6.513 0.171 F
1.445 -0.173 3.933 F
4.218 3.872 0.709 F
0.424 1.872 2.161 F
3.198 1.689 2.307 F
```

Formation energy (no corrections): -2.100 eV/atom
ΔE to the lowest computed polymorph: 2.028 eV/f.u.

Entry 4:
Computed, not measured: crystalline Rb3Hg5Te12 at its relaxed geometry at the PBE level of DFT.

Structure (POSCAR):
```
Rb3Hg5Te12
1.0
-2.782 -5.529 -15.276
14.214 -6.200 5.584
-12.315 -4.729 9.882
Rb Hg Te
12 20 48
Cartesian
1.705 -7.063 -8.128 Rb
6.687 -10.079 -7.944 Rb
1.921 -9.679 4.635 Rb
-3.537 -3.930 0.585 Rb
-3.736 -6.795 -10.198 Rb
4.762 -7.131 0.232 Rb
-5.644 -9.327 -0.042 Rb
2.854 -9.663 10.387 Rb
2.654 -12.527 -0.395 Rb
-2.803 -6.779 -4.446 Rb
-7.570 -6.379 8.133 Rb
-2.587 -9.395 8.317 Rb
1.904 -4.198 2.655 Hg
7.107 -3.100 2.792 Hg
0.000 0.000 0.000 Hg
0.971 -4.214 -3.097 Hg
-7.548 -5.129 -2.697 Hg
5.716 -5.865 -4.846 Hg
5.695 -7.114 5.984 Hg
-11.085 -9.059 -2.113 Hg
2.180 -9.795 -4.262 Hg
-8.503 -6.395 2.381 Hg
7.620 -10.063 -2.191 Hg
-0.441 -8.229 0.095 Hg
-1.391 -2.764 -7.638 Hg
-6.157 -2.364 4.941 Hg
-3.062 -6.663 4.451 Hg
10.203 -7.398 2.302 Hg
0.950 -5.464 7.733 Hg
-6.577 -9.343 -5.795 Hg
-1.853 -12.243 3.287 Hg
-2.786 -12.259 -2.466 Hg
-1.212 -4.363 -10.371 Te
0.906 -6.956 2.668 Te
-0.122 -9.554 -9.793 Te
0.775 -4.419 -6.016 Te
-0.315 -11.269 0.988 Te
2.656 -9.827 -10.069 Te
6.044 -8.247 3.302 Te
11.218 -5.880 4.596 Te
3.926 -12.485 3.988 Te
4.772 -8.863 -5.267 Te
-0.631 -9.472 -5.034 Te
11.109 -10.363 -6.849 Te
3.611 -7.161 8.046 Te
3.353 -5.884 -2.731 Te
7.687 -8.752 7.380 Te
-6.887 -4.958 0.400 Te
-0.165 -3.024 0.940 Te
7.922 -7.278 -3.059 Te
6.324 -11.104 -4.607 Te
4.215 -2.789 1.528 Te
3.102 -12.288 6.662 Te
2.108 -8.216 -1.792 Te
2.469 -12.629 -4.955 Te
-8.425 -10.283 -1.959 Te
-2.991 -8.241 1.981 Te
-3.351 -3.828 5.144 Te
7.542 -6.175 2.148 Te
-7.207 -5.354 4.796 Te
-3.985 -4.169 -6.473 Te
-5.097 -13.669 -1.339 Te
-8.804 -9.180 3.248 Te
6.005 -11.500 -0.211 Te
-0.717 -13.433 -0.751 Te
-8.569 -7.706 -7.191 Te
-4.493 -9.297 -7.857 Te
-11.992 -6.094 7.038 Te
-4.236 -10.573 2.920 Te
-4.808 -3.972 -3.799 Te
-5.654 -7.595 5.456 Te
-0.252 -6.986 5.223 Te
-12.100 -10.578 -4.407 Te
-6.927 -8.211 -3.112 Te
-1.657 -12.039 6.205 Te
-3.538 -6.630 10.258 Te
-0.567 -5.188 -0.799 Te
-0.760 -6.904 9.983 Te
-1.789 -9.502 -2.479 Te
0.330 -12.095 10.561 Te
```

Formation energy (no corrections): -0.165 eV/atom

Entry 5:
Computed, not measured: crystalline Tb4HgAu at its relaxed geometry at the PBE level of DFT.

Structure (POSCAR):
```
Tb4HgAu
1.0
-2.917 2.709 -5.820
-0.206 -6.707 -3.018
-6.454 -1.194 3.095
Tb Hg Au
8 2 2
Cartesian
-3.708 -2.198 -6.539 Tb
-7.286 -0.312 -1.516 Tb
-3.262 -1.792 -1.889 Tb
-4.893 -5.959 -1.486 Tb
-5.869 -2.994 0.796 Tb
-2.290 -4.880 -4.227 Tb
-6.314 -3.400 -3.854 Tb
-4.683 0.767 -4.257 Tb
0.000 0.000 0.000 Hg
-1.561 -1.999 -4.419 Hg
-4.685 0.757 -1.362 Au
-3.330 -3.951 0.038 Au
```

E_form: -247 meV/atom

Entry 6:
Computed, not measured: crystalline PmCd2Hg4 at its relaxed geometry at the PBE level of DFT.

Structure (POSCAR):
```
PmCd2Hg4
1.0
-2.907 3.050 -1.640
-2.785 -1.121 -3.380
-9.675 -2.725 5.850
Pm Cd Hg
1 2 4
Cartesian
0.000 0.000 0.000 Pm
-10.103 0.019 -0.752 Cd
-5.263 -0.814 1.583 Cd
-12.248 -0.910 1.323 Hg
-7.988 0.934 -2.798 Hg
-3.118 0.114 -0.492 Hg
-7.378 -1.730 3.628 Hg
```

E_form: -79 meV/atom
ΔE to the lowest computed polymorph: 0.913 eV/f.u.

Entry 7:
Computed, not measured: crystalline CdAgW2 at its relaxed geometry at the PBE level of DFT.

Structure (POSCAR):
```
CdAgW2
1.0
-4.001 -3.026 8.696
-2.050 -5.072 8.418
-1.345 -2.589 9.606
Ag W Cd
1 2 1
Cartesian
-1.849 -2.672 6.680 Ag
-7.386 -10.672 26.683 W
-3.708 -5.358 13.397 W
-5.547 -8.015 20.040 Cd
```

E_form: 689 meV/atom

Entry 8:
Computed, not measured: crystalline CrAu3 at its relaxed geometry at the PBE level of DFT.

Structure (POSCAR):
```
CrAu3
1.0
-2.005 -5.217 -1.246
4.219 -1.133 -2.044
1.692 -1.711 4.443
Au Cr
6 2
Cartesian
2.689 -1.153 0.501 Au
-0.221 -1.590 0.426 Au
3.020 -3.296 2.372 Au
0.110 -3.733 2.297 Au
-1.222 -4.195 -0.196 Au
2.016 -5.909 1.748 Au
1.122 -1.135 2.946 Cr
1.677 -3.752 -0.148 Cr
```

E_form: 47 meV/atom

Entry 9:
Computed, not measured: crystalline CaLa3Si8 at its relaxed geometry at the PBE level of DFT.

Structure (POSCAR):
```
CaLa3Si8
1.0
-2.894 3.291 0.106
-3.249 -2.831 -0.803
-1.649 -1.877 13.283
Ca La Si
1 3 8
Cartesian
-3.071 0.230 -0.349 Ca
-0.824 -0.938 6.641 La
-2.688 0.233 10.045 La
-2.033 -1.881 2.888 La
-1.507 -1.716 12.143 Si
-3.754 -0.547 5.147 Si
-3.005 -2.987 10.719 Si
-1.999 1.017 4.497 Si
-0.141 -0.161 1.139 Si
-4.038 -0.871 7.438 Si
-1.715 1.340 2.215 Si
-2.722 -2.664 8.437 Si
```

Formation energy (no corrections): -0.591 eV/atom

Entry 10:
Computed, not measured: crystalline DyErCd4 at its relaxed geometry at the PBE level of DFT.

Structure (POSCAR):
```
DyErCd4
1.0
3.240 0.000 0.937
2.045 6.325 -1.003
-0.476 -3.014 7.715
Dy Er Cd
1 1 4
Cartesian
0.000 0.000 0.000 Dy
2.404 1.655 3.825 Er
3.317 0.570 6.739 Cd
2.954 5.260 1.924 Cd
1.492 2.741 0.911 Cd
1.855 -1.950 5.726 Cd
```

E_form: -224 meV/atom
ΔE to the lowest computed polymorph: 0.512 eV/f.u.

Entry 11:
Computed, not measured: crystalline Zr3Pd7 at its relaxed geometry at the PBE level of DFT.

Structure (POSCAR):
```
Zr3Pd7
1.0
-4.042 -0.381 0.100
0.489 -4.139 3.966
1.539 6.376 4.075
Zr Pd
3 7
Cartesian
0.000 0.000 0.000 Zr
-2.136 2.080 4.071 Zr
0.122 -0.224 4.070 Zr
0.244 -2.069 1.983 Pd
-1.881 -0.114 6.020 Pd
-0.134 1.970 2.121 Pd
-1.967 -0.222 2.103 Pd
-0.047 2.078 6.038 Pd
-1.721 -2.329 4.033 Pd
-0.293 4.185 4.109 Pd
```

E_form: -726 meV/atom

Entry 12:
Computed, not measured: crystalline SrZrNbW2 at its relaxed geometry at the PBE level of DFT.

Structure (POSCAR):
```
SrZrNbW2
1.0
-3.066 0.699 -3.717
-3.070 -3.824 1.813
-2.476 3.246 2.653
Sr Nb Zr W
1 1 1 2
Cartesian
-1.535 -1.912 0.907 Sr
-4.306 0.060 0.375 Nb
0.000 0.000 0.000 Zr
-1.238 1.623 1.327 W
-1.533 0.349 -1.858 W
```

E_form: 2336 meV/atom

One value per record, in order, for electronic total energy: -2.91, -10.71, -4.68, -2.27, -3.93, -1.19, -6.73, -4.82, -5.60, -2.36, -6.93, -6.90 eV/atom.